DFT (GGA+U) results for Mn2BeO4 after structural relaxation.

abc: 3.3504 3.3504 6.1918
angles: 74.30 74.30 90.00
Fractional coordinates of all 7 atoms:
O 0.1831 0.1831 0.6337
O 0.5000 0.0000 0.0000
O 0.0000 0.5000 0.0000
O 0.8169 0.8169 0.3663
Mn 0.6443 0.6443 0.7114
Mn 0.3557 0.3557 0.2886
Be 0.0000 0.0000 0.0000

Results
- E above lowest polymorph: 3.48 eV/f.u.
- Final energy: -48.27 eV per formula unit